(1)
## Sc2ZnMo2 (PBE-GGA)

Data for a geometry-optimized Sc2ZnMo2 structure.

Cell: 6.9150 6.9150 3.9898 Å, 90.00 90.00 90.00°
Atoms (fractional coordinates):
Sc  0.3255  0.1745  0.5000
Sc  0.8255  0.3255  0.5000
Sc  0.1745  0.6745  0.5000
Sc  0.6745  0.8255  0.5000
Mo  0.1218  0.3782  0.0000
Mo  0.8782  0.6218  0.0000
Mo  0.3782  0.8782  0.0000
Mo  0.6218  0.1218  0.0000
Zn  0.5000  0.5000  0.0000
Zn  0.0000  0.0000  0.0000

**Space group**: P4/mbm

(2)
## ScZnMo2 (PBE-GGA)

Data for a geometry-optimized ScZnMo2 structure.

Cell: 2.7305 2.7305 8.9236 Å, 90.00 90.00 90.00°
Atoms (fractional coordinates):
Mo  0.0000  0.0000  0.9810
Mo  0.0000  0.0000  0.5190
Zn  0.5000  0.5000  0.7500
Sc  0.5000  0.5000  0.2500

**Relative energy among the computed polymorphs**: 0.228 eV per atom
**Space group**: P4/mmm

(3)
## ScZn3Mo (PBE-GGA)

Data for a geometry-optimized ScZn3Mo structure.

Cell: 4.9695 4.9695 4.9695 Å, 90.00 90.00 90.00°
Atoms (fractional coordinates):
Zn  0.5000  0.0000  0.0000
Zn  0.0000  0.0000  0.5000
Zn  0.0000  0.5000  0.0000
Mo  0.5000  0.5000  0.5000
Sc  0.0000  0.0000  0.0000

**Relative energy among the computed polymorphs**: 0.786 eV per atom
**Space group**: Pm-3m

(4)
## Sc2ZnMo (PBE-GGA)

Data for a geometry-optimized Sc2ZnMo structure.

Cell: 4.5643 3.5281 4.5639 Å, 90.00 90.00 90.00°
Atoms (fractional coordinates):
Sc  0.5000  0.1250  0.3749
Sc  0.0000  0.1249  0.8750
Zn  0.0000  0.6251  0.3751
Mo  0.5000  0.6250  0.8750

**Relative energy among the computed polymorphs**: 0.054 eV per atom
**Space group**: P4/mmm

(5)
## Sc2ZnMo (PBE-GGA)

Data for a geometry-optimized Sc2ZnMo structure.

Cell: 4.0051 4.0051 10.0183 Å, 78.47 78.47 90.00°
Atoms (fractional coordinates):
Mo  0.0000  0.0000  0.0000
Mo  0.7500  0.2500  0.5000
Sc  0.8750  0.8819  0.7500
Sc  0.6319  0.1250  0.2500
Sc  0.3750  0.3681  0.7500
Sc  0.1181  0.6250  0.2500
Zn  0.2500  0.7500  0.5000
Zn  0.5000  0.5000  0.0000

**Relative energy among the computed polymorphs**: 0.550 eV per atom
**Space group**: I-42d

(6)
## ScZnMo4 (PBE-GGA)

Data for a geometry-optimized ScZnMo4 structure.

Cell: 5.3005 5.3005 5.3005 Å, 60.00 60.00 60.00°
Atoms (fractional coordinates):
Mo  0.3743  0.3743  0.8770
Mo  0.3743  0.3743  0.3743
Mo  0.8770  0.3743  0.3743
Mo  0.3743  0.8770  0.3743
Zn  0.0000  0.0000  0.0000
Sc  0.7500  0.7500  0.7500

**Space group**: F-43m

(7)
## ScZnMo2 (PBE-GGA)

Data for a geometry-optimized ScZnMo2 structure.

Cell: 5.3361 5.3361 4.2410 Å, 66.72 66.72 37.68°
Atoms (fractional coordinates):
Mo  0.5030  0.5030  0.4927
Mo  0.9970  0.9970  0.0073
Zn  0.2500  0.2500  0.2500
Sc  0.7500  0.7500  0.7500

**Relative energy among the computed polymorphs**: 0.170 eV per atom
**Space group**: C2/m

(8)
## Sc2ZnMo (PBE-GGA)

Data for a geometry-optimized Sc2ZnMo structure.

Cell: 3.0880 3.6223 6.8999 Å, 90.00 90.00 90.00°
Atoms (fractional coordinates):
Mo  0.5000  0.5000  0.7191
Sc  0.5000  0.5000  0.2977
Sc  0.0000  0.0000  0.9549
Zn  0.0000  0.0000  0.5284

**Relative energy among the computed polymorphs**: 0.148 eV per atom
**Space group**: Pmm2

Number 1: theoretical density 6.0 g/cm³, energy of formation from the pure elements 0.129 eV/atom. Number 2: theoretical density 7.5 g/cm³, energy of formation from the pure elements 0.166 eV/atom. Number 3: theoretical density 4.6 g/cm³, energy of formation from the pure elements 1.452 eV/atom. Number 4: theoretical density 5.7 g/cm³, energy of formation from the pure elements -0.012 eV/atom. Number 5: theoretical density 5.4 g/cm³, energy of formation from the pure elements 0.484 eV/atom. Number 6: theoretical density 7.8 g/cm³, energy of formation from the pure elements 0.231 eV/atom. Number 7: theoretical density 7.5 g/cm³, energy of formation from the pure elements 0.108 eV/atom. Number 8: theoretical density 5.4 g/cm³, energy of formation from the pure elements 0.083 eV/atom.